Entry from Alexandria via LeMat-Bulk: a relaxed TmMgHg2 crystal (PBE-GGA).

Geometry as POSCAR:
```
TmMgHg2
1.0
-4.656 0.933 -1.668
-3.452 -3.663 -0.008
-3.849 0.162 3.240
Mg Hg Tm
1 2 1
direct
0.500 0.500 0.500
0.250 0.250 0.250
0.750 0.750 0.750
0.000 0.000 0.000
```

## Properties
Total magnetization = 0.00 μB per cell
Final energy = -2.101 eV/atom
Symmetry = Fm-3m, No. 225
Energy relative to the elements = -434 meV/atom
Energy relative to the lowest polymorph listed for this composition = 0.0000 eV/atom
Crystal system = cubic